Entry 1:
{
  "formula": "Ti2AgH",
  "functional": "PBE-GGA",
  "state": "relaxed",
  "cell": [[5.948, 0.000, 0.000], [0.000, 5.948, 0.000], [2.974, 2.974, 3.176]],
  "species": ["Ti", "Ti", "Ti", "Ti", "Ag", "Ag", "H", "H"],
  "frac_coords": [[0.875, 0.483, 0.750], [0.517, 0.625, 0.250], [0.375, 0.767, 0.750], [0.233, 0.125, 0.250], [0.000, 0.000, 0.000], [0.750, 0.250, 0.500], [0.250, 0.750, 0.500], [0.500, 0.500, 0.000]],
  "rho_g_cm3": 6.0,
  "vol_a3_per_atom": 14.0,
  "de_polymorph_mev_per_atom": 138
}


Entry 2:
{
  "formula": "TiAg2H",
  "functional": "PBE-GGA",
  "state": "relaxed",
  "cell": [[0.000, 3.138, 3.138], [3.138, 0.000, 3.138], [3.138, 3.138, 0.000]],
  "species": ["Ag", "Ag", "Ti", "H"],
  "frac_coords": [[0.250, 0.250, 0.250], [0.750, 0.750, 0.750], [0.500, 0.500, 0.500], [0.000, 0.000, 0.000]],
  "rho_g_cm3": 7.1,
  "vol_a3_per_atom": 15.4,
  "de_polymorph_mev_per_atom": 357
}


Entry 3:
{
  "formula": "Ti2Ag2H",
  "functional": "PBE-GGA",
  "state": "relaxed",
  "cell": [[-1.037, -3.651, -3.873], [-1.844, -3.455, 3.751], [-4.666, 1.901, -0.542]],
  "species": ["Ag", "Ag", "Ag", "Ag", "H", "H", "Ti", "Ti", "Ti", "Ti"],
  "frac_coords": [[0.825, 0.325, 0.500], [0.675, 0.825, 0.500], [0.325, 0.175, 0.500], [0.175, 0.675, 0.500], [0.000, 0.000, 0.000], [0.500, 0.500, 0.000], [0.342, 0.842, 0.000], [0.658, 0.158, 0.000], [0.842, 0.658, 0.000], [0.158, 0.342, 0.000]],
  "rho_g_cm3": 7.0,
  "e_tot_ev_per_atom": -4.875,
  "vol_a3_per_atom": 14.9
}